Record 1
# NbFe2SnMo

NbFe2SnMo after structural relaxation (PBE-GGA, Alexandria).

## Properties
space-group type: P4/mmm (123)

a = 4.463 Å, b = 4.463 Å, c = 4.839 Å
α = 90.00°, β = 90.00°, γ = 90.00°
Positions (direct):
Nb 0.000 0.000 0.000
Fe 0.000 0.500 0.000
Fe 0.500 0.000 0.000
Sn 0.500 0.500 0.500
Mo 0.000 0.000 0.500

---

Record 2
# TaNbFeMo

TaNbFeMo after structural relaxation (PBE-GGA, Alexandria).

## Properties
space-group type: F-43m (216)

a = 4.455 Å, b = 4.455 Å, c = 4.455 Å
α = 60.00°, β = 60.00°, γ = 60.00°
Positions (direct):
Ta 0.000 0.000 0.000
Nb 0.500 0.500 0.500
Fe 0.250 0.250 0.250
Mo 0.750 0.750 0.750

---

Record 3
# TaNb2FeMo

TaNb2FeMo after structural relaxation (PBE-GGA, Alexandria).

## Properties
space-group type: P4/mmm (123)

a = 4.903 Å, b = 4.903 Å, c = 4.268 Å
α = 90.00°, β = 90.00°, γ = 90.00°
Positions (direct):
Ta 0.000 0.000 0.000
Nb 0.000 0.500 0.000
Nb 0.500 0.000 0.000
Fe 0.000 0.000 0.500
Mo 0.500 0.500 0.500

---

Record 4
# TaNbFe2Mo

TaNbFe2Mo after structural relaxation (PBE-GGA, Alexandria).

## Properties
space-group type: P4/mmm (123)

a = 4.364 Å, b = 4.364 Å, c = 4.943 Å
α = 90.00°, β = 90.00°, γ = 90.00°
Positions (direct):
Ta 0.000 0.000 0.000
Nb 0.000 0.000 0.500
Fe 0.000 0.500 0.000
Fe 0.500 0.000 0.000
Mo 0.500 0.500 0.500

---

Record 5
# Ta2Nb5Fe2Mo

Ta2Nb5Fe2Mo after structural relaxation (PBE-GGA, Alexandria).

## Properties
space-group type: P4/mbm (127)

a = 10.244 Å, b = 10.244 Å, c = 3.247 Å
α = 90.00°, β = 90.00°, γ = 90.00°
Positions (direct):
Ta 0.175 0.325 0.000
Ta 0.325 0.825 0.000
Ta 0.675 0.175 0.000
Ta 0.825 0.675 0.000
Nb 0.000 0.500 0.500
Nb 0.065 0.796 0.500
Nb 0.204 0.065 0.500
Nb 0.296 0.565 0.500
Nb 0.435 0.296 0.500
Nb 0.500 0.000 0.500
Nb 0.565 0.704 0.500
Nb 0.704 0.435 0.500
Nb 0.796 0.935 0.500
Nb 0.935 0.204 0.500
Fe 0.127 0.627 0.000
Fe 0.373 0.127 0.000
Fe 0.627 0.873 0.000
Fe 0.873 0.373 0.000
Mo 0.000 0.000 0.000
Mo 0.500 0.500 0.000

---

Record 6
# NbFeTcMo

NbFeTcMo after structural relaxation (PBE-GGA, Alexandria).

## Properties
space-group type: F-43m (216)

a = 4.405 Å, b = 4.405 Å, c = 4.405 Å
α = 60.00°, β = 60.00°, γ = 60.00°
Positions (direct):
Nb 0.000 0.000 0.000
Fe 0.750 0.750 0.750
Tc 0.250 0.250 0.250
Mo 0.500 0.500 0.500

---

Record 7
# NbVFeMo

NbVFeMo after structural relaxation (PBE-GGA, Alexandria).

## Properties
space-group type: F-43m (216)

a = 4.337 Å, b = 4.337 Å, c = 4.337 Å
α = 60.00°, β = 60.00°, γ = 60.00°
Positions (direct):
Nb 0.000 0.000 0.000
V 0.500 0.500 0.500
Fe 0.750 0.750 0.750
Mo 0.250 0.250 0.250

---

Record 8
# NdFe10Mo2

NdFe10Mo2 after structural relaxation (PBE-GGA, Alexandria).

## Properties
space-group type: Immm (71)

a = 6.547 Å, b = 6.547 Å, c = 6.547 Å
α = 137.74°, β = 97.85°, γ = 97.08°
Positions (direct):
Nd 0.000 0.000 0.000
Fe 0.000 0.000 0.500
Fe 0.000 0.500 0.000
Fe 0.224 0.500 0.724
Fe 0.231 0.731 0.500
Fe 0.359 0.000 0.359
Fe 0.500 0.000 0.000
Fe 0.500 0.500 0.500
Fe 0.641 0.000 0.641
Fe 0.769 0.269 0.500
Fe 0.776 0.500 0.276
Mo 0.359 0.359 0.000
Mo 0.641 0.641 0.000

---

no.,DFT formation energy (meV per atom),Fermi-level density of states (states/eV per atom)
1,1542.9,2.083
2,-114.6,0.582
3,1697.8,1.101
4,1695.5,1.170
5,72.8,0.890
6,-5.0,0.843
7,-62.4,0.465
8,28.4,0.889